The following is a DFT calculation (PBE+U) of VIO2 after structural relaxation.

- Total magnetic moment: 5.26 Bohr magnetons per cell
- DOS at the Fermi energy: 15.341 states/eV/cell
- Volume: 13.62 Å³ per atom
- Total DFT energy (no corrections): -69.64 eV for the cell shown

CIF file:
```
data_VIO2
_chemical_formula_sum 'V4 I4 O8'
_symmetry_space_group_name_H-M 'F m -3 m'
_symmetry_Int_Tables_number 225
_symmetry_space_group_name_Hall '-F 4 2 3'
_cell_length_a 6.018
_cell_length_b 6.018
_cell_length_c 6.018
_cell_angle_alpha 90.00
_cell_angle_beta 90.00
_cell_angle_gamma 90.00
loop_
_atom_site_label
_atom_site_type_symbol
_atom_site_fract_x
_atom_site_fract_y
_atom_site_fract_z
V1 V 0.000 0.000 0.000
I1 I 0.000 0.000 0.500
O1 O 0.250 0.250 0.250
```